Ce2U3Se8 (GGA-PBE, relaxed); E_form (uncorrected) = -1.358 eV per atom; uncorrected energy = -0.5160 Ry/atom; density of states at the Fermi level = 25.9 states/eV/f.u.; energy relative to the lowest polymorph listed for this composition = 0.000 eV/atom; M_tot = 0.770 μB per atom
1.0
4.954 0.000 0.000
0.000 8.552 -4.914
0.000 -0.747 8.598
Ce Se U
2 8 3
direct
0.500 0.264 0.528
0.500 0.736 0.472
0.000 0.376 0.751
0.000 0.116 0.232
0.500 0.361 0.241
0.500 0.880 0.241
0.500 0.120 0.759
0.000 0.624 0.249
0.000 0.884 0.768
0.500 0.639 0.759
0.000 0.733 0.000
0.500 0.000 0.000
0.000 0.267 0.000


CeU2Se6 (GGA-PBE, relaxed); E_form (uncorrected) = -1.276 eV per atom; uncorrected energy = -0.4973 Ry/atom; density of states at the Fermi level = 17.4 states/eV/f.u.; energy relative to the lowest polymorph listed for this composition = 0.000 eV/atom; M_tot = 0.445 μB per atom
1.0
-3.633 -0.733 2.002
0.147 -7.929 -2.636
6.278 -0.169 6.901
Se U Ce
6 2 1
direct
0.327 0.439 0.654
0.012 0.243 0.025
0.673 0.561 0.346
0.335 0.893 0.670
0.988 0.757 0.975
0.665 0.107 0.330
0.168 0.331 0.336
0.832 0.669 0.664
0.500 0.000 0.000


Ce2USe6 (GGA-PBE, relaxed); E_form (uncorrected) = -1.424 eV per atom; uncorrected energy = -0.4645 Ry/atom; density of states at the Fermi level = 14.6 states/eV/f.u.; energy relative to the lowest polymorph listed for this composition = 0.031 eV/atom; M_tot = 0.223 μB per atom
1.0
-2.898 0.262 6.094
6.480 -2.650 3.195
2.937 9.009 1.515
Se U Ce
12 2 4
direct
0.834 0.674 0.063
0.659 0.186 0.064
0.359 0.540 0.266
0.166 0.326 0.937
0.641 0.460 0.734
0.859 0.960 0.766
0.159 0.314 0.564
0.841 0.686 0.436
0.334 0.826 0.563
0.141 0.040 0.234
0.341 0.814 0.936
0.666 0.174 0.437
0.500 0.500 0.000
0.000 0.000 0.500
0.461 0.113 0.747
0.039 0.613 0.753
0.961 0.387 0.247
0.539 0.887 0.253


CeUSe3 (GGA-PBE, relaxed); E_form (uncorrected) = -1.508 eV per atom; uncorrected energy = -0.5176 Ry/atom; density of states at the Fermi level = 10.2 states/eV/f.u.; energy relative to the lowest polymorph listed for this composition = 0.000 eV/atom; M_tot = 0.769 μB per atom
1.0
4.135 0.000 0.000
0.000 7.749 0.000
0.000 0.000 15.945
U Se Ce
4 12 4
direct
0.750 0.236 0.459
0.250 0.264 0.959
0.250 0.764 0.541
0.750 0.736 0.041
0.750 0.624 0.433
0.750 0.995 0.604
0.750 0.124 0.067
0.250 0.666 0.719
0.250 0.505 0.104
0.750 0.834 0.219
0.250 0.166 0.781
0.250 0.876 0.933
0.750 0.334 0.281
0.250 0.005 0.396
0.750 0.495 0.896
0.250 0.376 0.567
0.250 0.613 0.295
0.250 0.113 0.205
0.750 0.387 0.705
0.750 0.887 0.795


Ce3V5Se12 (GGA-PBE, relaxed); E_form (uncorrected) = -1.020 eV per atom; uncorrected energy = -0.4616 Ry/atom; density of states at the Fermi level = 23.2 states/eV/f.u.; M_tot = 0.650 μB per atom
1.0
13.712 0.000 0.000
-4.571 12.928 0.000
-4.571 -6.464 11.196
Se Ce V
48 12 20
direct
0.708 0.590 0.179
0.882 0.590 0.911
0.029 0.618 0.708
0.118 0.410 0.089
0.590 0.882 0.411
0.292 0.882 0.971
0.971 0.382 0.292
0.410 0.292 0.321
0.471 0.792 0.882
0.589 0.971 0.679
0.821 0.910 0.292
0.321 0.529 0.411
0.589 0.618 0.410
0.911 0.090 0.882
0.411 0.029 0.321
0.411 0.382 0.590
0.208 0.679 0.090
0.882 0.292 0.471
0.089 0.910 0.118
0.179 0.090 0.708
0.090 0.179 0.208
0.618 0.029 0.208
0.089 0.179 0.471
0.792 0.471 0.382
0.292 0.410 0.821
0.529 0.321 0.911
0.821 0.911 0.029
0.410 0.118 0.589
0.679 0.471 0.589
0.590 0.708 0.679
0.321 0.792 0.410
0.179 0.089 0.971
0.471 0.679 0.089
0.118 0.708 0.529
0.910 0.089 0.618
0.679 0.208 0.590
0.708 0.118 0.029
0.382 0.971 0.792
0.618 0.589 0.910
0.529 0.208 0.118
0.971 0.589 0.179
0.910 0.821 0.792
0.029 0.411 0.821
0.382 0.411 0.090
0.911 0.821 0.529
0.792 0.321 0.910
0.090 0.911 0.382
0.208 0.529 0.618
0.875 0.125 0.250
0.125 0.875 0.750
0.875 0.750 0.125
0.750 0.875 0.625
0.250 0.625 0.875
0.625 0.250 0.375
0.250 0.125 0.375
0.375 0.750 0.625
0.625 0.375 0.750
0.125 0.250 0.875
0.750 0.375 0.125
0.375 0.625 0.250
0.125 0.750 0.375
0.000 0.000 0.500
0.125 0.375 0.250
0.750 0.125 0.875
0.375 0.125 0.750
0.625 0.750 0.875
0.375 0.250 0.125
0.875 0.250 0.625
0.750 0.625 0.375
0.000 0.500 0.000
0.500 0.000 0.500
0.000 0.500 0.500
0.500 0.500 0.500
0.500 0.500 0.000
0.875 0.625 0.750
0.500 0.000 0.000
0.250 0.875 0.125
0.625 0.875 0.250
0.000 0.000 0.000
0.250 0.375 0.625


CeVSe (GGA-PBE, relaxed); E_form (uncorrected) = -0.618 eV per atom; uncorrected energy = -0.4996 Ry/atom; density of states at the Fermi level = 5.1 states/eV/f.u.; M_tot = 0.000 μB per atom
1.0
-1.472 -3.550 1.233
1.044 -1.618 -3.413
8.487 -2.918 1.731
Ce Se V
2 2 2
direct
0.750 0.643 0.715
0.250 0.357 0.285
0.750 0.910 0.180
0.250 0.090 0.820
0.750 0.767 0.467
0.250 0.233 0.533


CeVSe3 (GGA-PBE, relaxed); E_form (uncorrected) = -1.148 eV per atom; uncorrected energy = -0.4593 Ry/atom; density of states at the Fermi level = 5.4 states/eV/f.u.; M_tot = 0.599 μB per atom
1.0
5.099 0.000 -0.153
0.000 4.993 0.000
-0.721 0.000 9.410
Se V Ce
6 2 2
direct
0.723 0.250 0.921
0.277 0.750 0.079
0.953 0.750 0.371
0.047 0.250 0.629
0.490 0.750 0.627
0.510 0.250 0.373
0.558 0.250 0.663
0.442 0.750 0.337
0.985 0.250 0.202
0.015 0.750 0.798


Ce2WSe6 (GGA-PBE, relaxed); E_form (uncorrected) = -1.123 eV per atom; uncorrected energy = -0.4560 Ry/atom; density of states at the Fermi level = 8.7 states/eV/f.u.; M_tot = 0.185 μB per atom
1.0
6.411 0.000 0.245
0.000 7.565 0.000
-0.434 0.000 9.065
Ce Se W
4 12 2
direct
0.545 0.876 0.749
0.045 0.624 0.249
0.955 0.376 0.751
0.455 0.124 0.251
0.878 0.977 0.233
0.650 0.195 0.944
0.338 0.829 0.442
0.838 0.671 0.942
0.850 0.695 0.556
0.162 0.329 0.058
0.350 0.805 0.056
0.662 0.171 0.558
0.122 0.023 0.767
0.378 0.523 0.733
0.150 0.305 0.444
0.622 0.477 0.267
0.000 0.000 0.500
0.500 0.500 0.000


Ce2YSe3 (GGA-PBE, relaxed); E_form (uncorrected) = -1.782 eV per atom; uncorrected energy = -0.4836 Ry/atom; density of states at the Fermi level = 12.4 states/eV/f.u.; energy relative to the lowest polymorph listed for this composition = 0.022 eV/atom; M_tot = 0.308 μB per atom
1.0
4.098 0.000 0.000
-2.049 3.549 0.000
0.000 0.000 21.145
Ce Se Y
4 6 2
direct
0.333 0.667 0.917
0.667 0.333 0.417
0.333 0.667 0.583
0.667 0.333 0.083
0.667 0.333 0.832
0.000 0.000 0.000
0.667 0.333 0.668
0.333 0.667 0.332
0.333 0.667 0.168
0.000 0.000 0.500
0.000 0.000 0.250
0.000 0.000 0.750


Ce2YSe4 (GGA-PBE, relaxed); E_form (uncorrected) = -1.768 eV per atom; uncorrected energy = -0.4688 Ry/atom; density of states at the Fermi level = 14.1 states/eV/f.u.; energy relative to the lowest polymorph listed for this composition = 0.035 eV/atom; M_tot = 0.347 μB per atom
1.0
-0.180 -2.703 -2.971
0.713 -3.807 6.140
-14.005 -0.509 1.311
Se Ce Y
8 4 2
direct
0.781 0.561 0.374
0.219 0.439 0.874
0.219 0.439 0.626
0.500 0.000 0.000
0.781 0.561 0.126
0.024 0.049 0.250
0.500 0.000 0.500
0.976 0.951 0.750
0.867 0.734 0.929
0.867 0.734 0.571
0.133 0.266 0.071
0.133 0.266 0.429
0.376 0.751 0.250
0.624 0.249 0.750


Ce4Y3Se8 (GGA-PBE, relaxed); E_form (uncorrected) = -1.601 eV per atom; uncorrected energy = -0.4656 Ry/atom; density of states at the Fermi level = 29.3 states/eV/f.u.; M_tot = 0.357 μB per atom
1.0
-1.265 7.585 2.791
1.560 1.791 7.828
7.313 5.017 1.669
Se Ce Y
8 4 3
direct
0.750 0.234 0.266
0.769 0.769 0.694
0.250 0.766 0.734
0.231 0.231 0.306
0.766 0.250 0.734
0.250 0.250 0.734
0.234 0.750 0.266
0.750 0.750 0.266
0.354 0.354 0.938
0.000 0.000 0.000
0.500 0.500 0.500
0.646 0.646 0.062
0.000 0.000 0.500
0.500 0.000 0.500
0.000 0.500 0.500


Ce2Y2Se5 (GGA-PBE, relaxed); E_form (uncorrected) = -1.744 eV per atom; uncorrected energy = -0.4729 Ry/atom; density of states at the Fermi level = 15.8 states/eV/f.u.; M_tot = 0.398 μB per atom
1.0
7.806 0.000 0.000
0.000 7.272 -4.159
0.000 -0.649 8.352
Y Se Ce
4 10 4
direct
0.845 0.347 0.347
0.155 0.653 0.653
0.655 0.847 0.847
0.345 0.153 0.153
0.153 0.207 0.476
0.153 0.476 0.207
0.653 0.293 0.024
0.847 0.524 0.793
0.347 0.707 0.976
0.500 0.500 0.500
0.847 0.793 0.524
0.653 0.024 0.293
0.347 0.976 0.707
0.000 0.000 0.000
0.500 0.303 0.697
0.000 0.197 0.803
0.000 0.803 0.197
0.500 0.697 0.303


- Among the records above, which one has the lowest E_form (uncorrected)?
  Ce2YSe3


- What is the E_form (uncorrected) in the ninth record?
  -1.782 eV per atom